Version a
First-principles (PBE-GGA) data for a relaxed Nd4TmIn2 crystal, as listed in Alexandria.

Output
The calculation puts the density of states at the Fermi level at 10.11 states/eV per cell. The calculation puts the mass density at 7.048 g/cm3.

Structure (extended XYZ):
```
7
Lattice="5.7071 -0.0002 -1.7245 -0.5213 5.6832 -1.7246 -0.8101 -0.8880 7.6252" Properties=species:S:1:pos:R:3 pbc="T T T"
Tm 0.0000 0.0000 0.0000
Nd 0.6308 3.8184 2.0880
Nd 3.7450 0.9767 2.0881
In 3.0287 3.3190 -0.2824
Nd -0.2606 2.8416 -0.8623
In 1.3471 1.4761 4.4585
Nd 2.8536 -0.0001 -0.8622
```

Version b
First-principles (PBE-GGA) data for a relaxed Nd4TmIn2 crystal, as listed in Alexandria.

Output
The calculation puts the density of states at the Fermi level at 16.55 states/eV per cell. The calculation puts the mass density at 7.321 g/cm3.

Structure (extended XYZ):
```
14
Lattice="8.4331 0.0782 1.5189 -0.3919 9.1670 -2.2250 -2.7293 -6.4227 6.7334" Properties=species:S:1:pos:R:3 pbc="T T T"
Nd 0.6454 -4.6651 5.8494
In -1.4217 -1.8123 5.2318
In 5.2029 6.8305 -0.2804
In 5.2438 0.7486 1.6164
Nd 2.4979 1.7327 3.2754
Tm 5.8037 2.8948 3.9406
Nd -1.1330 5.5955 0.4774
Nd -0.6055 -0.2673 1.9626
Tm 0.4819 2.6008 0.6986
Nd 3.8380 -3.2840 6.6631
Nd 3.2163 4.7814 1.2274
Nd 4.8069 -0.6685 4.5950
Nd 2.1397 7.7743 -1.3213
In 1.6043 -1.6429 4.3056
```

Least stable = version a

Version a
First-principles (PBE-GGA) data for a relaxed Nd2Tm3In crystal, as listed in Alexandria.

Output
The calculation puts the density of states at the Fermi level at 13.62 states/eV per cell. The calculation puts the mass density at 8.266 g/cm3.

Structure (extended XYZ):
```
12
Lattice="-3.5297 -2.4339 -2.7707 6.7215 2.4889 -6.0440 3.1383 -6.2750 6.2191" Properties=species:S:1:pos:R:3 pbc="T T T"
Tm 3.3607 1.2444 -3.0220
Tm 1.2619 -1.7464 -2.4237
Tm 3.8688 -4.3076 -3.4925
Tm 5.0682 -4.4737 -0.1718
In 1.9069 -4.6376 -0.7045
Nd 0.7605 -7.4414 3.2188
Tm 2.4613 -1.9124 0.8969
In 4.4232 -1.5825 -1.8911
Tm -0.1957 -4.3545 1.7242
Nd 3.0613 -4.9135 2.7700
Nd 3.2688 -1.3065 -5.3655
Nd 5.5696 1.2213 -5.8144
```

Version b
First-principles (PBE-GGA) data for a relaxed Nd2Tm3In crystal, as listed in Alexandria.

Output
The calculation puts the density of states at the Fermi level at 6.54 states/eV per cell. The calculation puts the mass density at 8.365 g/cm3.

Structure (extended XYZ):
```
6
Lattice="-2.5143 0.6157 -4.1798 0.9169 -4.6227 -1.2325 -6.7835 0.1281 4.0994" Properties=species:S:1:pos:R:3 pbc="T T T"
In 0.0000 0.0000 0.0000
Tm -0.7987 -2.0035 -2.7062
Nd -1.5905 -3.0186 0.5121
Tm -3.3353 -0.4095 -0.9455
Nd -4.2761 -1.4760 2.3548
Tm -5.0456 -3.4694 -0.3674
```

Least stable = version a

Version a
First-principles (PBE-GGA) data for a relaxed NdTm2In2 crystal, as listed in Alexandria.

Output
The calculation puts the density of states at the Fermi level at 10.13 states/eV per cell. The calculation puts the mass density at 7.759 g/cm3.

Structure (extended XYZ):
```
10
Lattice="4.6227 0.0000 0.0000 0.0000 4.6227 0.0000 -2.3113 -2.3113 14.2570" Properties=species:S:1:pos:R:3 pbc="T T T"
Tm 0.0000 2.3113 7.1285
In 2.3113 2.3114 9.2461
Tm 0.0000 0.0000 2.0816
In 0.0000 0.0000 5.0109
Nd 0.0000 0.0000 10.4458
Tm 2.3113 2.3113 12.1754
Nd 2.3113 2.3113 3.8112
Tm 2.3113 0.0000 7.1285
In 2.3113 0.0000 0.0000
In 0.0000 2.3113 0.0000
```

Version b
First-principles (PBE-GGA) data for a relaxed NdTm2In2 crystal, as listed in Alexandria.

Output
The calculation puts the density of states at the Fermi level at 2.68 states/eV per cell. The calculation puts the mass density at 7.994 g/cm3.

Structure (extended XYZ):
```
5
Lattice="-4.4965 -1.0622 2.2829 4.1205 -2.9538 0.9248 1.6100 3.7909 4.9348" Properties=species:S:1:pos:R:3 pbc="T T T"
In 0.3984 0.9381 1.2211
Tm 2.0531 -0.4278 3.8449
Tm -1.6242 -1.6927 1.8302
In 1.2116 2.8528 3.7137
Nd 1.2482 -2.3232 1.3775
```

Least stable = version b